Run a
This record from Alexandria via LeMat-Bulk describes a geometry-optimized Li2AuBr structure. The functional is PBE-GGA.

Unit cell a=5.5757 b=3.8242 c=3.8214 alpha=90.02 beta=90.00 gamma=90.00
With the nearest neighbours (Å) after each atom.
Fractional positions:
Au  0.0000  0.3760  0.3757  6 Li 2.70-2.79
Br  0.5000  0.8747  0.8743  6 Li 2.70-2.79
Li  0.5000  0.3735  0.3741  4 Br 2.70-2.71, 2 Au 2.79
Li  0.0000  0.8759  0.8760  4 Au 2.70, 2 Br 2.79

Values from the calculation:
total magnetization = 0.00 μB per cell
V = 81.5 Å³/cell
DOS(E_F) = 0.00 states/eV/cell
space-group type = No. 38
crystal system = orthorhombic

Run b
This record from Alexandria via LeMat-Bulk describes a geometry-optimized Li2AuBr structure. The functional is PBE-GGA.

Unit cell a=4.2069 b=5.5628 c=3.4078 alpha=90.00 beta=90.00 gamma=90.00
With the nearest neighbours (Å) after each atom.
Fractional positions:
Br  0.0000  0.5000  0.5000  4 Li 2.71
Li  0.5000  0.5000  0.0000  4 Br 2.71
Li  0.0000  0.0000  0.0000  4 Au 2.71
Au  0.5000  0.0000  0.5000  4 Li 2.71

Values from the calculation:
total magnetization = 0.00 μB per cell
V = 79.8 Å³/cell
DOS(E_F) = 0.62 states/eV/cell
space-group type = No. 47
crystal system = orthorhombic

Stability ranking, top and bottom: run a is the most stable and run b is the least stable.

Run a
This record from Alexandria via LeMat-Bulk describes a geometry-optimized Li2AuBr structure. The functional is PBE-GGA.

Unit cell a=3.3202 b=3.3212 c=6.7002 alpha=90.00 beta=90.00 gamma=90.00
With the nearest neighbours (Å) after each atom.
Fractional positions:
Br  0.5000  0.5000  0.7500  8 Li 2.88
Au  0.5000  0.5000  0.2500  8 Li 2.88
Li  0.0000  0.0000  0.5000  4 Br 2.88, 4 Au 2.88
Li  0.0000  0.0000  0.0000  4 Br 2.88, 4 Au 2.88

Values from the calculation:
total magnetization = 0.00 μB per cell
V = 73.9 Å³/cell
DOS(E_F) = 0.45 states/eV/cell
space-group type = No. 123
crystal system = tetragonal

Run b
This record from Alexandria via LeMat-Bulk describes a geometry-optimized Li2AuBr structure. The functional is PBE-GGA.

Unit cell a=7.3591 b=7.3591 c=7.3591 alpha=151.02 beta=151.02 gamma=41.44
With the nearest neighbours (Å) after each atom.
Fractional positions:
Br  0.7500  0.2500  0.5000  4 Li 2.60
Au  0.5000  0.5000  0.0000  4 Li 2.60
Li  0.2500  0.7500  0.5000  4 Br 2.60
Li  0.0000  0.0000  0.0000  4 Au 2.60

Values from the calculation:
total magnetization = 0.00 μB per cell
V = 93.3 Å³/cell
DOS(E_F) = 0.02 states/eV/cell
space-group type = No. 119
crystal system = tetragonal

Stability ranking, top and bottom: run a is the most stable and run b is the least stable.

Run a
This record from Alexandria via LeMat-Bulk describes a geometry-optimized Li2AuBr structure. The functional is PBE-GGA.

Unit cell a=4.9065 b=4.9065 c=4.9065 alpha=60.00 beta=60.00 gamma=60.00
With the nearest neighbours (Å) after each atom.
Fractional positions:
Au  0.5000  0.5000  0.5000  4 Li 3.00, 4 Br 3.00
Li  0.0000  0.0000  0.0000  4 Br 3.00, 4 Li 3.00
Li  0.2500  0.2500  0.2500  4 Li 3.00, 4 Au 3.00
Br  0.7500  0.7500  0.7500  4 Li 3.00, 4 Au 3.00

Values from the calculation:
total magnetization = 0.00 μB per cell
V = 83.5 Å³/cell
DOS(E_F) = 0.55 states/eV/cell
space-group type = No. 216
crystal system = cubic

Run b
This record from Alexandria via LeMat-Bulk describes a geometry-optimized Li2AuBr structure. The functional is PBE-GGA.

Unit cell a=6.1522 b=6.1522 c=6.9988 alpha=63.93 beta=63.93 gamma=90.00
With the nearest neighbours (Å) after each atom.
Fractional positions:
Br  0.5000  0.5000  0.0000  4 Li 2.52
Br  0.2500  0.7500  0.5000  4 Li 2.52
Au  0.0000  0.0000  0.0000  4 Li 2.63
Au  0.7500  0.2500  0.5000  4 Li 2.63
Li  0.8750  0.8597  0.7500  2 Br 2.52, 2 Au 2.63
Li  0.1403  0.6250  0.2500  2 Br 2.52, 2 Au 2.63
Li  0.3750  0.3903  0.7500  2 Br 2.52, 2 Au 2.63
Li  0.6097  0.1250  0.2500  2 Br 2.52, 2 Au 2.63

Values from the calculation:
total magnetization = 0.00 μB per cell
V = 207.5 Å³/cell
DOS(E_F) = 0.00 states/eV/cell
space-group type = No. 122
crystal system = tetragonal

Stability ranking, top and bottom: run b is the most stable and run a is the least stable.

Run a
This record from Alexandria via LeMat-Bulk describes a geometry-optimized LiAuBr structure. The functional is PBE-GGA.

Unit cell a=3.1925 b=3.1925 c=7.0592 alpha=90.00 beta=90.00 gamma=120.00
With the nearest neighbours (Å) after each atom.
Fractional positions:
Br  0.6667  0.3333  0.4081  3 Li 2.51
Li  0.3333  0.6667  0.6484  3 Br 2.51, 3 Au 2.78
Au  0.0000  0.0000  0.9435  3 Li 2.78

Values from the calculation:
total magnetization = 0.00 μB per cell
V = 62.3 Å³/cell
DOS(E_F) = 1.64 states/eV/cell
space-group type = No. 156
crystal system = trigonal

Run b
This record from Alexandria via LeMat-Bulk describes a geometry-optimized LiAuBr structure. The functional is PBE-GGA.

Unit cell a=4.0815 b=4.0815 c=9.9345 alpha=90.00 beta=90.00 gamma=90.00
With the nearest neighbours (Å) after each atom.
Fractional positions:
Br  0.5000  0.0000  0.5006  4 Br 2.89
Br  0.0000  0.5000  0.4994  4 Br 2.89
Li  0.5000  0.5000  0.0000  4 Au 2.61, 4 Li 2.89
Li  0.0000  0.0000  0.0000  4 Au 2.61, 4 Li 2.89
Au  0.0000  0.5000  0.8365  4 Li 2.61
Au  0.5000  0.0000  0.1635  4 Li 2.61

Values from the calculation:
total magnetization = 0.00 μB per cell
V = 165.5 Å³/cell
DOS(E_F) = 2.54 states/eV/cell
space-group type = No. 129
crystal system = tetragonal

Run c
This record from Alexandria via LeMat-Bulk describes a geometry-optimized LiAuBr structure. The functional is PBE-GGA.

Unit cell a=4.5217 b=4.5217 c=4.5217 alpha=60.00 beta=60.00 gamma=60.00
With the nearest neighbours (Å) after each atom.
Fractional positions:
Au  0.0000  0.0000  0.0000  4 Li 2.77
Br  0.5000  0.5000  0.5000  4 Li 2.77
Li  0.7500  0.7500  0.7500  4 Br 2.77, 4 Au 2.77

Values from the calculation:
total magnetization = 0.00 μB per cell
V = 65.4 Å³/cell
DOS(E_F) = 1.27 states/eV/cell
space-group type = No. 216
crystal system = cubic

Stability ranking, top and bottom: run a is the most stable and run b is the least stable.

Run a
This record from Alexandria via LeMat-Bulk describes a geometry-optimized LiAuBr3 structure. The functional is PBE-GGA.

Unit cell a=7.6544 b=6.9802 c=11.1616 alpha=90.00 beta=76.52 gamma=90.00
With the nearest neighbours (Å) after each atom.
Fractional positions:
Br  0.8136  0.3471  0.0786  1 Au 2.50, 2 Li 2.70-2.77
Br  0.3450  0.3527  0.2862  1 Li 2.58, 1 Au 2.61
Br  0.3514  0.1795  0.8746  1 Au 2.54, 2 Li 2.65-2.71
Br  0.6864  0.8471  0.4214  1 Au 2.50, 2 Li 2.70-2.77
Br  0.1486  0.6795  0.6254  1 Au 2.54, 2 Li 2.65-2.71
Br  0.3136  0.1529  0.5786  1 Au 2.50, 2 Li 2.70-2.77
Br  0.6550  0.6473  0.7138  1 Li 2.58, 1 Au 2.61
Br  0.1550  0.8527  0.2138  1 Li 2.58, 1 Au 2.61
Br  0.1864  0.6529  0.9214  1 Au 2.50, 2 Li 2.70-2.77
Br  0.6486  0.8205  0.1254  1 Au 2.54, 2 Li 2.65-2.71
Br  0.8514  0.3205  0.3746  1 Au 2.54, 2 Li 2.65-2.71
Br  0.8450  0.1473  0.7862  1 Li 2.58, 1 Au 2.61
Li  0.3758  0.8614  0.7318  5 Br 2.58-2.77
Li  0.8758  0.6386  0.2318  5 Br 2.58-2.77
Li  0.6242  0.1386  0.2682  5 Br 2.58-2.77
Li  0.1242  0.3614  0.7682  5 Br 2.58-2.77
Au  0.1066  0.1432  0.4355  3 Br 2.50-2.61, 1 Au 2.76
Au  0.6066  0.3568  0.9355  3 Br 2.50-2.61, 1 Au 2.76
Au  0.3934  0.6432  0.0645  3 Br 2.50-2.61, 1 Au 2.76
Au  0.8934  0.8568  0.5645  3 Br 2.50-2.61, 1 Au 2.76

Values from the calculation:
total magnetization = 0.00 μB per cell
V = 579.9 Å³/cell
space-group type = No. 14
crystal system = monoclinic

Run b
This record from Alexandria via LeMat-Bulk describes a geometry-optimized LiAuBr3 structure. The functional is PBE-GGA.

Unit cell a=5.3559 b=5.3559 c=5.3559 alpha=90.00 beta=90.00 gamma=90.00
With the nearest neighbours (Å) after each atom.
Fractional positions:
Br  0.5000  0.0000  0.0000  2 Au 2.68
Br  0.0000  0.0000  0.5000  2 Au 2.68
Br  0.0000  0.5000  0.0000  2 Au 2.68
Li  0.5000  0.5000  0.5000  12 Br 3.79
Au  0.0000  0.0000  0.0000  6 Br 2.68

Values from the calculation:
total magnetization = 0.00 μB per cell
V = 153.6 Å³/cell
DOS(E_F) = 0.96 states/eV/cell
space-group type = No. 221
crystal system = cubic

Stability ranking, top and bottom: run a is the most stable and run b is the least stable.

Run a
This record from Alexandria via LeMat-Bulk describes a geometry-optimized Li2AuBr4 structure. The functional is PBE-GGA.

Unit cell a=6.7420 b=6.7420 c=6.3467 alpha=122.08 beta=122.08 gamma=90.00
With the nearest neighbours (Å) after each atom.
Fractional positions:
Au  0.5000  0.5000  0.0000  4 Br 2.59
Li  0.2500  0.7500  0.5000  4 Br 2.67
Li  0.7500  0.2500  0.5000  4 Br 2.67
Br  0.3525  0.8624  0.2149  1 Au 2.59, 2 Li 2.67
Br  0.8624  0.3525  0.2149  1 Au 2.59, 2 Li 2.67
Br  0.1376  0.1376  0.7851  1 Au 2.59, 2 Li 2.67
Br  0.6475  0.6475  0.7851  1 Au 2.59, 2 Li 2.67

Values from the calculation:
total magnetization = 0.84 μB per cell
V = 190.4 Å³/cell
DOS(E_F) = 3.03 states/eV/cell
space-group type = No. 121
crystal system = tetragonal

Run b
This record from Alexandria via LeMat-Bulk describes a geometry-optimized Li2AuBr4 structure. The functional is PBE-GGA.

Unit cell a=7.1865 b=7.1865 c=9.1197 alpha=113.20 beta=113.20 gamma=90.00
With the nearest neighbours (Å) after each atom.
Fractional positions:
Au  0.7500  0.2500  0.5000  4 Br 2.61
Au  0.0000  0.0000  0.0000  4 Br 2.61
Br  0.7185  0.8026  0.0260  2 Li 2.57-2.70, 1 Au 2.61
Br  0.4425  0.0267  0.4740  2 Li 2.57-2.70, 1 Au 2.61
Br  0.7767  0.2815  0.9740  2 Li 2.57-2.70, 1 Au 2.61
Br  0.1974  0.6925  0.9740  2 Li 2.57-2.70, 1 Au 2.61
Br  0.3075  0.2233  0.0260  2 Li 2.57-2.70, 1 Au 2.61
Br  0.9733  0.9685  0.5260  2 Li 2.57-2.70, 1 Au 2.61
Br  0.0315  0.4474  0.4740  2 Li 2.57-2.70, 1 Au 2.61
Br  0.5526  0.5575  0.5260  2 Li 2.57-2.70, 1 Au 2.61
Li  0.3750  0.6250  0.2500  4 Br 2.57-2.70
Li  0.3750  0.1250  0.7500  4 Br 2.57-2.70
Li  0.8750  0.6250  0.2500  4 Br 2.57-2.70
Li  0.3750  0.6250  0.7500  4 Br 2.57-2.70

Values from the calculation:
total magnetization = 0.00 μB per cell
V = 391.1 Å³/cell
DOS(E_F) = 6.43 states/eV/cell
space-group type = No. 88
crystal system = tetragonal

Stability ranking, top and bottom: run a is the most stable and run b is the least stable.